# Rb2Hg8Pb

A geometry-optimized Rb2Hg8Pb structure (GGA-PBE, the Alexandria database).

Lattice parameters (Å, degrees): 5.613 7.365 9.631 112.33 104.56 90.06
Sites, in units of the cell vectors:
Rb1 0.101 0.118 0.237
Rb2 0.899 0.882 0.763
Hg1 0.156 0.683 0.369
Hg2 0.345 0.105 0.642
Hg3 0.347 0.540 0.645
Hg4 0.499 0.262 0.999
Hg5 0.501 0.738 0.001
Hg6 0.653 0.460 0.355
Hg7 0.655 0.895 0.358
Hg8 0.844 0.317 0.631
Pb1 0.000 0.500 0.000

Energy of formation from the pure elements = -0.165 eV per atom
DOS at the Fermi energy = 3.1 states/eV per cell
Crystal system = triclinic
E_tot = -0.897 eV per atom